DFT (PBE+U) results for a relaxed structure of CaTaFe2O.

Unit cell a=5.2683 b=3.9022 c=5.2683 alpha=90.00 beta=90.00 gamma=90.00
Closest atoms and distances in Å follow each position.
Positions (direct):
Ca  0.5000  0.5000  0.5000  8 Fe 3.28
Ta  0.0000  0.0000  0.0000  2 O 1.95
O  0.0000  0.5000  0.0000  2 Ta 1.95
Fe  0.5000  0.0000  0.0000  2 Ta 2.63
Fe  0.0000  0.0000  0.5000  2 Ta 2.63

Summary:
Magnetization = 1.18 μB per atom
Raw total energy = -5.8108 eV/atom